# LiAcSiHg, optimized geometry, DFT GGA-PBE
# VASP energy, eV/atom: -3.27
# Fermi-level density of states, states/eV per atom: 0.229
# Formation energy (no corrections), eV/atom: -0.330
data_LiAcSiHg
_chemical_formula_sum 'Li4 Ac4 Si4 Hg4'
_space_group_name_H-M_alt 'F -4 3 m'
_space_group_IT_number 216
_space_group_name_Hall 'F -4 2 3'
_cell_length_a 7.450
_cell_length_b 7.450
_cell_length_c 7.450
_cell_angle_alpha 90.00
_cell_angle_beta 90.00
_cell_angle_gamma 90.00
loop_
_atom_site_label
_atom_site_type_symbol
_atom_site_fract_x
_atom_site_fract_y
_atom_site_fract_z
Li1 Li 0.000 0.000 0.000
Ac1 Ac 0.000 0.000 0.500
Si1 Si 0.250 0.250 0.250
Hg1 Hg 0.250 0.250 0.750